[1]
First-principles (PBE) data for a relaxed structure of Rb3Na3CdCl8, as listed in Alexandria.

Output
DOS at the Fermi energy   0.0 states/eV per cell
Space group   R-3m, No. 166
Energy relative to the elements, uncorrected   -1708 meV per atom
Calculated density   2.604 Mg/m³

a b c (Å): 8.937 8.937 8.937
angles (deg): 56.18 56.18 56.18
Fractional positions:
Rb  0.000  0.500  0.500
Rb  0.500  0.000  0.500
Rb  0.500  0.500  0.000
Na  0.000  0.000  0.500
Na  0.000  0.500  0.000
Na  0.500  0.000  0.000
Cd  0.500  0.500  0.500
Cl  0.237  0.237  0.237
Cl  0.256  0.720  0.720
Cl  0.280  0.280  0.744
Cl  0.280  0.744  0.280
Cl  0.720  0.256  0.720
Cl  0.720  0.720  0.256
Cl  0.744  0.280  0.280
Cl  0.763  0.763  0.763


[2]
First-principles (PBE) data for a relaxed structure of Ta4FeP, as listed in Alexandria.

Output
DOS at the Fermi energy   12.3 states/eV per cell
Formation energy   -411 meV/atom
Space group   P4/mcc, No. 124
Energy above the lowest structure with this stoichiometry   0.000 eV/atom
Calculated density   14.158 Mg/m³

a b c (Å): 6.116 6.116 5.084
angles (deg): 90.00 90.00 90.00
Fractional positions:
Ta  0.157  0.330  0.000
Ta  0.157  0.670  0.500
Ta  0.330  0.157  0.500
Ta  0.330  0.843  0.000
Ta  0.670  0.157  0.000
Ta  0.670  0.843  0.500
Ta  0.843  0.330  0.500
Ta  0.843  0.670  0.000
Fe  0.000  0.000  0.250
Fe  0.000  0.000  0.750
P  0.500  0.500  0.250
P  0.500  0.500  0.750


[3]
First-principles (PBE) data for a relaxed structure of Li2AcBiO4, as listed in Alexandria.

Output
DOS at the Fermi energy   0.0 states/eV per cell
Space group   I-42m, No. 121
Energy relative to the elements, uncorrected   -2049 meV per atom
Calculated density   7.378 Mg/m³

a b c (Å): 5.379 5.379 5.379
angles (deg): 116.08 116.08 96.94
Fractional positions:
Li  0.250  0.750  0.500
Li  0.750  0.250  0.500
Ac  0.000  0.000  0.000
Bi  0.500  0.500  0.000
O  0.084  0.556  0.000
O  0.444  0.444  0.528
O  0.556  0.084  0.000
O  0.916  0.916  0.472


[4]
First-principles (PBE) data for a relaxed structure of MgCdPb2, as listed in Alexandria.

Output
DOS at the Fermi energy   1.2 states/eV per cell
Formation energy   43 meV/atom
Space group   Cmmm, No. 65
Energy above the lowest structure with this stoichiometry   0.069 eV/atom
Calculated density   8.213 Mg/m³

a b c (Å): 3.361 3.361 10.902
angles (deg): 90.00 90.00 115.23
Fractional positions:
Mg  0.000  0.000  0.000
Cd  0.000  0.000  0.500
Pb  0.500  0.500  0.243
Pb  0.500  0.500  0.757


[5]
First-principles (PBE) data for a relaxed structure of DyYBeCo, as listed in Alexandria.

Output
DOS at the Fermi energy   2.6 states/eV per cell
Formation energy   -24 meV/atom
Space group   F-43m, No. 216
Calculated density   6.903 Mg/m³

a b c (Å): 4.772 4.772 4.772
angles (deg): 60.00 60.00 60.00
Fractional positions:
Dy  0.000  0.000  0.000
Y  0.500  0.500  0.500
Be  0.750  0.750  0.750
Co  0.250  0.250  0.250


[6]
First-principles (PBE) data for a relaxed structure of La5ErCd6, as listed in Alexandria.

Output
DOS at the Fermi energy   15.6 states/eV per cell
Formation energy   -319 meV/atom
Space group   Cmmm, No. 65
Calculated density   7.167 Mg/m³

a b c (Å): 8.724 8.724 7.829
angles (deg): 90.00 90.00 143.31
Fractional positions:
La  0.000  0.000  0.000
La  0.328  0.672  0.000
La  0.334  0.666  0.500
La  0.666  0.334  0.500
La  0.672  0.328  0.000
Er  0.000  0.000  0.500
Cd  0.160  0.840  0.259
Cd  0.160  0.840  0.741
Cd  0.500  0.500  0.260
Cd  0.500  0.500  0.740
Cd  0.840  0.160  0.259
Cd  0.840  0.160  0.741


[7]
First-principles (PBE) data for a relaxed structure of LaGe2Pd5Au, as listed in Alexandria.

Output
DOS at the Fermi energy   2.7 states/eV per cell
Formation energy   -439 meV/atom
Space group   P4/mmm, No. 123
Calculated density   10.019 Mg/m³

a b c (Å): 4.720 4.720 7.539
angles (deg): 90.00 90.00 90.00
Fractional positions:
La  0.000  0.000  0.000
Ge  0.500  0.500  0.343
Ge  0.500  0.500  0.657
Pd  0.000  0.500  0.250
Pd  0.000  0.500  0.750
Pd  0.500  0.000  0.250
Pd  0.500  0.000  0.750
Pd  0.500  0.500  0.000
Au  0.000  0.000  0.500


[8]
First-principles (PBE) data for a relaxed structure of CaTlW, as listed in Alexandria.

Output
DOS at the Fermi energy   1.2 states/eV per cell
Formation energy   666 meV/atom
Space group   I4mm, No. 107
Energy above the lowest structure with this stoichiometry   0.000 eV/atom
Calculated density   10.726 Mg/m³

a b c (Å): 7.668 7.668 7.668
angles (deg): 157.44 157.44 32.12
Fractional positions:
Ca  0.000  0.000  0.000
Tl  0.320  0.320  0.000
W  0.665  0.665  0.000


[9]
First-principles (PBE) data for a relaxed structure of YTc2Rh, as listed in Alexandria.

Output
DOS at the Fermi energy   4.3 states/eV per cell
Formation energy   101 meV/atom
Space group   Imm2, No. 44
Energy above the lowest structure with this stoichiometry   0.139 eV/atom
Calculated density   9.174 Mg/m³

a b c (Å): 5.320 5.320 5.320
angles (deg): 144.02 126.45 66.21
Fractional positions:
Y  0.000  0.000  0.000
Tc  0.510  0.510  0.000
Tc  0.718  0.218  0.500
Rh  0.275  0.775  0.500


[10]
First-principles (PBE) data for a relaxed structure of La3Ho6Th2, as listed in Alexandria.

Output
DOS at the Fermi energy   15.4 states/eV per cell
Formation energy   214 meV/atom
Space group   C2/m, No. 12
Calculated density   8.211 Mg/m³

a b c (Å): 6.192 6.192 11.584
angles (deg): 95.16 95.16 120.04
Fractional positions:
La  0.000  0.000  0.000
La  0.336  0.664  0.000
La  0.664  0.336  0.000
Ho  0.087  0.419  0.259
Ho  0.247  0.247  0.741
Ho  0.419  0.087  0.259
Ho  0.581  0.913  0.741
Ho  0.753  0.753  0.259
Ho  0.913  0.581  0.741
Th  0.166  0.834  0.500
Th  0.834  0.166  0.500


[11]
First-principles (PBE) data for a relaxed structure of LiBe2Tc, as listed in Alexandria.

Output
DOS at the Fermi energy   1.6 states/eV per cell
Formation energy   246 meV/atom
Space group   Immm, No. 71
Energy above the lowest structure with this stoichiometry   0.297 eV/atom
Calculated density   4.798 Mg/m³

a b c (Å): 4.670 4.670 4.670
angles (deg): 147.49 128.27 62.44
Fractional positions:
Li  0.000  0.000  0.000
Be  0.240  0.740  0.500
Be  0.760  0.260  0.500
Tc  0.500  0.500  0.000


[12]
First-principles (PBE) data for a relaxed structure of B2S2Cl, as listed in Alexandria.

Output
DOS at the Fermi energy   2.0 states/eV per cell
Space group   I4/mmm, No. 139
Energy relative to the elements, uncorrected   686 meV per atom
Energy above the lowest structure with this stoichiometry   0.152 eV/atom
Calculated density   3.315 Mg/m³

a b c (Å): 4.730 4.730 4.730
angles (deg): 129.93 129.93 73.52
Fractional positions:
B  0.121  0.121  0.000
B  0.879  0.879  0.000
S  0.250  0.750  0.500
S  0.750  0.250  0.500
Cl  0.500  0.500  0.000


[13]
First-principles (PBE) data for a relaxed structure of BeTe2, as listed in Alexandria.

Output
DOS at the Fermi energy   2.8 states/eV per cell
Space group   P4_2/mnm, No. 136
Energy relative to the elements, uncorrected   177 meV per atom
Energy above the lowest structure with this stoichiometry   0.321 eV/atom
Calculated density   6.010 Mg/m³

a b c (Å): 6.199 6.199 3.800
angles (deg): 90.00 90.00 90.00
Fractional positions:
Be  0.000  0.000  0.000
Be  0.500  0.500  0.500
Te  0.190  0.190  0.500
Te  0.310  0.690  0.000
Te  0.690  0.310  0.000
Te  0.810  0.810  0.500


[14]
First-principles (PBE) data for a relaxed structure of Rb2ThTe3, as listed in Alexandria.

Output
DOS at the Fermi energy   0.0 states/eV per cell
Space group   Fddd, No. 70
Energy relative to the elements, uncorrected   -1229 meV per atom
Energy above the lowest structure with this stoichiometry   0.000 eV/atom
Calculated density   5.099 Mg/m³

a b c (Å): 15.994 15.266 8.642
angles (deg): 78.65 69.36 31.99
Fractional positions:
Rb  0.049  0.049  0.201
Rb  0.120  0.120  0.630
Rb  0.201  0.201  0.049
Rb  0.370  0.370  0.880
Rb  0.630  0.630  0.120
Rb  0.799  0.799  0.951
Rb  0.880  0.880  0.370
Rb  0.951  0.951  0.799
Th  0.290  0.290  0.460
Th  0.460  0.460  0.290
Th  0.540  0.540  0.710
Th  0.710  0.710  0.540
Te  0.036  0.528  0.259
Te  0.176  0.574  0.574
Te  0.259  0.677  0.036
Te  0.323  0.741  0.472
Te  0.426  0.824  0.824
Te  0.472  0.964  0.323
Te  0.528  0.036  0.677
Te  0.574  0.176  0.176
Te  0.677  0.259  0.528
Te  0.741  0.323  0.964
Te  0.824  0.426  0.426
Te  0.964  0.472  0.741


[15]
First-principles (PBE) data for a relaxed structure of Ta3GeW, as listed in Alexandria.

Output
DOS at the Fermi energy   7.1 states/eV per cell
Formation energy   1317 meV/atom
Space group   Pm-3m, No. 221
Energy above the lowest structure with this stoichiometry   0.000 eV/atom
Calculated density   13.057 Mg/m³

a b c (Å): 4.667 4.667 4.667
angles (deg): 90.00 90.00 90.00
Fractional positions:
Ta  0.000  0.000  0.500
Ta  0.000  0.500  0.000
Ta  0.500  0.000  0.000
Ge  0.000  0.000  0.000
W  0.500  0.500  0.500


[16]
First-principles (PBE) data for a relaxed structure of SrAlNi2Pd, as listed in Alexandria.

Output
DOS at the Fermi energy   2.0 states/eV per cell
Formation energy   537 meV/atom
Space group   P4/mmm, No. 123
Calculated density   5.102 Mg/m³

a b c (Å): 4.369 4.369 5.771
angles (deg): 90.00 90.00 90.00
Fractional positions:
Sr  0.000  0.000  0.000
Al  0.000  0.000  0.500
Ni  0.000  0.500  0.500
Ni  0.500  0.000  0.500
Pd  0.500  0.500  0.000


[17]
First-principles (PBE) data for a relaxed structure of Ca3Ge2, as listed in Alexandria.

Output
DOS at the Fermi energy   1.7 states/eV per cell
Formation energy   -440 meV/atom
Space group   I4/mmm, No. 139
Calculated density   3.192 Mg/m³

a b c (Å): 11.242 11.242 11.242
angles (deg): 161.83 161.83 25.81
Fractional positions:
Ca  0.000  0.000  0.000
Ca  0.173  0.173  0.000
Ca  0.827  0.827  0.000
Ge  0.408  0.408  0.000
Ge  0.592  0.592  0.000


[18]
First-principles (PBE) data for a relaxed structure of LiLa2Cl, as listed in Alexandria.

Output
DOS at the Fermi energy   3.0 states/eV per cell
Space group   Cmmm, No. 65
Energy relative to the elements, uncorrected   -549 meV per atom
Energy above the lowest structure with this stoichiometry   0.131 eV/atom
Calculated density   4.544 Mg/m³

a b c (Å): 3.547 3.547 10.101
angles (deg): 90.00 90.00 112.95
Fractional positions:
Li  0.000  0.000  0.000
La  0.500  0.500  0.264
La  0.500  0.500  0.736
Cl  0.000  0.000  0.500


[19]
First-principles (PBE) data for a relaxed structure of Hg2AsIF, as listed in Alexandria.

Output
DOS at the Fermi energy   1.7 states/eV per cell
Space group   P4/mmm, No. 123
Energy relative to the elements, uncorrected   -509 meV per atom
Calculated density   8.090 Mg/m³

a b c (Å): 5.509 5.509 4.206
angles (deg): 90.00 90.00 90.00
Fractional positions:
Hg  0.000  0.500  0.000
Hg  0.500  0.000  0.000
As  0.000  0.000  0.000
I  0.500  0.500  0.500
F  0.000  0.000  0.500


[20]
First-principles (PBE) data for a relaxed structure of Ce3PSe2, as listed in Alexandria.

Output
DOS at the Fermi energy   33.7 states/eV per cell
Space group   C2/c, No. 15
Energy relative to the elements, uncorrected   -1739 meV per atom
Calculated density   6.592 Mg/m³

a b c (Å): 7.220 7.220 7.202
angles (deg): 99.63 99.63 119.84
Fractional positions:
Ce  0.000  0.500  0.000
Ce  0.157  0.315  0.499
Ce  0.315  0.157  0.999
Ce  0.500  0.000  0.500
Ce  0.685  0.843  0.001
Ce  0.843  0.685  0.501
P  0.086  0.914  0.250
P  0.914  0.086  0.750
Se  0.253  0.747  0.750
Se  0.417  0.583  0.250
Se  0.583  0.417  0.750
Se  0.747  0.253  0.250